This record from the Alexandria database describes a geometry-optimized RbMgNi2S structure. The functional is PBE.

Lattice parameters (Å, degrees): 4.389 5.994 4.389 90.00 90.00 90.00
Each line ends with the local moment (μB).
Sites, in units of the cell vectors:
Rb 0.000 0.500 0.000  0.00
Ni 0.000 0.000 0.500  0.36
Ni 0.500 0.000 0.000  0.47
Mg 0.500 0.500 0.500  0.01
S 0.000 0.000 0.000  0.05

=====

This record from the Alexandria database describes a geometry-optimized La2ZrTe2N2 structure. The functional is PBE.

Lattice parameters (Å, degrees): 4.364 4.364 8.988 104.05 104.05 90.00
Sites, in units of the cell vectors:
Zr 0.000 0.000 0.000
Te 0.179 0.179 0.357
Te 0.821 0.821 0.643
La 0.602 0.602 0.204
La 0.398 0.398 0.796
N 0.500 0.000 0.000
N 0.000 0.500 0.000

=====

The following energy relative to the elements, uncorrected values (in eV/atom) correspond, in order, to the records above: 0.35 -1.53.
The following uncorrected energy values (in eV for the cell shown) correspond, in order, to the records above: -16.5 -52.0.